Entry 1:
# In3Ga4Sn, optimized geometry, DFT GGA-PBE
data_In3Ga4Sn
_chemical_formula_sum 'In6 Ga8 Sn2'
_cell_length_a 8.7667
_cell_length_b 7.9430
_cell_length_c 6.1330
_cell_angle_alpha 90.00
_cell_angle_beta 90.00
_cell_angle_gamma 90.00
_space_group_name_H-M_alt 'P m n 21'
_space_group_IT_number 31
loop_
_space_group_symop_operation_xyz
'x,y,z'
'-x+1/2,-y,z+1/2'
'-x,y,z'
'x+1/2,-y,z+1/2'
loop_
_atom_site_label
_atom_site_type_symbol
_atom_site_fract_x
_atom_site_fract_y
_atom_site_fract_z
_atom_site_occupancy
In1 In 0.0000 0.1629 0.0000 1
In2 In 0.2258 0.6105 0.4897 1
Ga1 Ga 0.0000 0.1083 0.4836 1
Ga2 Ga 0.0000 0.8289 0.2490 1
Ga3 Ga 0.2488 0.2640 0.5284 1
Sn1 Sn 0.0000 0.8219 0.7585 1
# magnetic moment	0.00	μB/f.u.
# relative energy among the computed polymorphs	0.027	eV per atom
# E	-2.961	eV per atom

Entry 2:
# KZr3Hg, optimized geometry, DFT GGA-PBE
data_KZr3Hg
_chemical_formula_sum 'K1 Zr3 Hg1'
_cell_length_a 4.9573
_cell_length_b 4.9573
_cell_length_c 4.9573
_cell_angle_alpha 90.00
_cell_angle_beta 90.00
_cell_angle_gamma 90.00
_space_group_name_H-M_alt 'P m -3 m'
_space_group_IT_number 221
_space_group_name_Hall '-P 4 2 3'
loop_
_atom_site_label
_atom_site_type_symbol
_atom_site_fract_x
_atom_site_fract_y
_atom_site_fract_z
_atom_site_occupancy
K1 K 0.0000 0.0000 0.0000 1
Zr1 Zr 0.0000 0.0000 0.5000 1
Hg1 Hg 0.5000 0.5000 0.5000 1
# magnetic moment	1.70	μB/f.u.
# relative energy among the computed polymorphs	0.728	eV per atom
# E	-3.566	eV per atom

Entry 3:
# In2CoPt, optimized geometry, DFT GGA-PBE
data_In2CoPt
_chemical_formula_sum 'In2 Co1 Pt1'
_cell_length_a 3.5539
_cell_length_b 3.5717
_cell_length_c 5.6492
_cell_angle_alpha 90.00
_cell_angle_beta 90.00
_cell_angle_gamma 90.00
_space_group_name_H-M_alt 'P m m 2'
_space_group_IT_number 25
loop_
_space_group_symop_operation_xyz
'x,y,z'
'-x,-y,z'
'-x,y,z'
'x,-y,z'
loop_
_atom_site_label
_atom_site_type_symbol
_atom_site_fract_x
_atom_site_fract_y
_atom_site_fract_z
_atom_site_occupancy
In1 In 0.0000 0.0000 0.0000 1
In2 In 0.5000 0.5000 0.3264 1
Co1 Co 0.5000 0.5000 0.8128 1
Pt1 Pt 0.0000 0.0000 0.5249 1
# magnetic moment	1.35	μB/f.u.
# relative energy among the computed polymorphs	0.149	eV per atom
# E	-4.629	eV per atom

Entry 4:
# Cd2Pb2Au, optimized geometry, DFT GGA-PBE
data_Cd2Pb2Au
_chemical_formula_sum 'Cd4 Pb4 Au2'
_cell_length_a 7.3013
_cell_length_b 7.3013
_cell_length_c 4.9361
_cell_angle_alpha 90.00
_cell_angle_beta 90.00
_cell_angle_gamma 90.00
_space_group_name_H-M_alt 'P 4/m b m'
_space_group_IT_number 127
_space_group_name_Hall '-P 4 2ab'
loop_
_atom_site_label
_atom_site_type_symbol
_atom_site_fract_x
_atom_site_fract_y
_atom_site_fract_z
_atom_site_occupancy
Cd1 Cd 0.1407 0.3593 0.0000 1
Pb1 Pb 0.1711 0.6711 0.5000 1
Au1 Au 0.0000 0.0000 0.0000 1
# magnetic moment	0.00	μB/f.u.
# relative energy among the computed polymorphs	0.039	eV per atom
# E	-2.477	eV per atom

Entry 5:
# SmInH8Ir2, optimized geometry, DFT GGA-PBE
data_SmInH8Ir2
_chemical_formula_sum 'Sm2 In2 H16 Ir4'
_cell_length_a 8.7565
_cell_length_b 4.5685
_cell_length_c 6.0955
_cell_angle_alpha 90.00
_cell_angle_beta 111.18
_cell_angle_gamma 90.00
_space_group_name_H-M_alt 'C 1 2/m 1'
_space_group_IT_number 12
loop_
_space_group_symop_operation_xyz
'x,y,z'
'-x,-y,-z'
'-x,y,-z'
'x,-y,z'
'x+1/2,y+1/2,z'
'-x+1/2,-y+1/2,-z'
'-x+1/2,y+1/2,-z'
'x+1/2,-y+1/2,z'
loop_
_atom_site_label
_atom_site_type_symbol
_atom_site_fract_x
_atom_site_fract_y
_atom_site_fract_z
_atom_site_occupancy
Sm1 Sm 0.0000 0.0000 0.0000 1
In1 In 0.0000 0.5000 0.5000 1
H1 H 0.0496 0.5000 0.1489 1
H2 H 0.0777 0.0000 0.4415 1
H3 H 0.2103 0.2403 0.8294 1
Ir1 Ir 0.2467 0.5000 0.3430 1
# magnetic moment	0.00	μB/f.u.
# E	-4.519	eV per atom

Entry 6:
# RbHfTiPt2, optimized geometry, DFT GGA-PBE
data_RbHfTiPt2
_chemical_formula_sum 'Rb1 Hf1 Ti1 Pt2'
_cell_length_a 5.0019
_cell_length_b 5.0019
_cell_length_c 4.8795
_cell_angle_alpha 90.00
_cell_angle_beta 90.00
_cell_angle_gamma 90.00
_space_group_name_H-M_alt 'P 4/m m m'
_space_group_IT_number 123
_space_group_name_Hall '-P 4 2'
loop_
_atom_site_label
_atom_site_type_symbol
_atom_site_fract_x
_atom_site_fract_y
_atom_site_fract_z
_atom_site_occupancy
Rb1 Rb 0.0000 0.0000 0.0000 1
Hf1 Hf 0.0000 0.0000 0.5000 1
Ti1 Ti 0.5000 0.5000 0.5000 1
Pt1 Pt 0.0000 0.5000 0.0000 1
# magnetic moment	2.08	μB/f.u.
# E	-4.019	eV per atom